# Ac2In4Pd3Rh | Alexandria via LeMat-Bulk | PBE | relaxed
# N(E_F)	0.68	states/eV per atom
# crystal system	tetragonal
# density	9.2	g/cm³
# energy relative to the elements	-0.635	eV/atom
data_Ac2In4Pd3Rh
_symmetry_space_group_name_H-M 'P -4 m 2'
_symmetry_Int_Tables_number 115
_cell_length_a 4.755
_cell_length_b 4.755
_cell_length_c 10.605
_cell_angle_alpha 90.00
_cell_angle_beta 90.00
_cell_angle_gamma 90.00
loop_
_symmetry_equiv_pos_as_xyz
'x,y,z'
'y,-x,-z'
'-x,-y,z'
'-y,x,-z'
'-x,y,z'
'-y,-x,-z'
'x,-y,z'
'y,x,-z'
loop_
_atom_site_label
_atom_site_type_symbol
_atom_site_fract_x
_atom_site_fract_y
_atom_site_fract_z
Ac1 Ac 0.000 0.500 0.235
In1 In 0.000 0.000 0.500
In2 In 0.000 0.500 0.881
In3 In 0.500 0.500 0.500
Pd1 Pd 0.000 0.000 0.000
Pd2 Pd 0.000 0.500 0.630
Rh1 Rh 0.500 0.500 0.000